(1)
A geometry-optimized ZrTl structure. Source: Alexandria via LeMat-Bulk, functional PBE.

Summary:
As for the total energy: -50.7 eV/cell. For the density of states at the Fermi level, the calculation gives 15.70 states/eV per cell.

a b c (Å): 8.0207 8.0207 8.0207
angles (deg): 90.00 90.00 90.00
With the nearest neighbours (Å) after each atom.
Element x y z (fractional)
Tl  0.0000  0.7500  0.5000  4 Zr 2.84
Zr  0.5000  0.2500  0.0000  4 Tl 2.84
Zr  0.5000  0.7500  0.0000  4 Tl 2.84
Tl  0.0000  0.2500  0.5000  4 Zr 2.84
Zr  0.7500  0.0000  0.5000  4 Tl 2.84
Tl  0.7500  0.5000  0.0000  4 Zr 2.84
Zr  0.0000  0.5000  0.2500  4 Tl 2.84
Tl  0.2500  0.5000  0.0000  4 Zr 2.84
Tl  0.5000  0.0000  0.2500  4 Zr 2.84
Zr  0.2500  0.0000  0.5000  4 Tl 2.84
Tl  0.5000  0.0000  0.7500  4 Zr 2.84
Zr  0.0000  0.5000  0.7500  4 Tl 2.84

(2)
A geometry-optimized ZrTl structure. Source: Alexandria via LeMat-Bulk, functional PBE.

Summary:
As for the total energy: -82.9 eV/cell. For the density of states at the Fermi level, the calculation gives 13.30 states/eV per cell.

a b c (Å): 8.9731 8.9731 5.5166
angles (deg): 90.00 90.00 90.00
With the nearest neighbours (Å) after each atom.
Element x y z (fractional)
Tl  0.3812  0.2900  0.0000  5 Zr 2.98-3.17, 2 Tl 3.06
Tl  0.8812  0.7900  0.5000  5 Zr 2.98-3.17, 2 Tl 3.06
Tl  0.2900  0.6188  0.0000  5 Zr 2.98-3.17, 2 Tl 3.06
Zr  0.0555  0.3544  0.0000  1 Zr 2.80, 4 Tl 2.98-3.11
Tl  0.7900  0.1188  0.5000  5 Zr 2.98-3.17, 2 Tl 3.06
Zr  0.3544  0.9445  0.0000  1 Zr 2.80, 4 Tl 2.98-3.11
Zr  0.6456  0.0555  0.0000  1 Zr 2.80, 4 Tl 2.98-3.11
Zr  0.5555  0.8544  0.5000  1 Zr 2.80, 4 Tl 2.98-3.11
Tl  0.2100  0.8812  0.5000  5 Zr 2.98-3.17, 2 Tl 3.06
Zr  0.1456  0.5555  0.5000  1 Zr 2.80, 4 Tl 2.98-3.11
Zr  0.8544  0.4445  0.5000  1 Zr 2.80, 4 Tl 2.98-3.11
Tl  0.6188  0.7100  0.0000  5 Zr 2.98-3.17, 2 Tl 3.06
Tl  0.1188  0.2100  0.5000  5 Zr 2.98-3.17, 2 Tl 3.06
Zr  0.4445  0.1456  0.5000  1 Zr 2.80, 4 Tl 2.98-3.11
Tl  0.7100  0.3812  0.0000  5 Zr 2.98-3.17, 2 Tl 3.06
Zr  0.9445  0.6456  0.0000  1 Zr 2.80, 4 Tl 2.98-3.11

(3)
A geometry-optimized Zr3Tl4 structure. Source: Alexandria via LeMat-Bulk, functional PBE.

Summary:
As for the total energy: -33.8 eV/cell. For the density of states at the Fermi level, the calculation gives 10.42 states/eV per cell.

a b c (Å): 12.4508 12.4508 12.4508
angles (deg): 162.62 162.62 24.68
With the nearest neighbours (Å) after each atom.
Element x y z (fractional)
Tl  0.4249  0.4249  0.0000  4 Tl 3.22, 5 Zr 3.23-3.50
Tl  0.5751  0.5751  0.0000  4 Tl 3.22, 5 Zr 3.23-3.50
Zr  0.0000  0.0000  0.0000  8 Tl 3.23
Zr  0.2812  0.2812  0.0000  4 Zr 3.06, 5 Tl 3.15-3.21
Tl  0.8505  0.8505  0.0000  5 Zr 3.15-3.21, 4 Tl 3.22
Tl  0.1495  0.1495  0.0000  5 Zr 3.15-3.21, 4 Tl 3.22
Zr  0.7188  0.7188  0.0000  4 Zr 3.06, 5 Tl 3.15-3.21

(4)
A geometry-optimized Zr4Tl structure. Source: Alexandria via LeMat-Bulk, functional PBE.

Summary:
As for the total energy: -30.6 eV/cell. For the density of states at the Fermi level, the calculation gives 8.29 states/eV per cell.

a b c (Å): 5.3163 5.3163 5.3163
angles (deg): 90.00 90.00 90.00
With the nearest neighbours (Å) after each atom.
Element x y z (fractional)
Zr  0.0000  0.5000  0.5000  2 Tl 2.66
Tl  0.5000  0.5000  0.5000  6 Zr 2.66
Zr  0.0000  0.0000  0.0000  12 Zr 3.76
Zr  0.5000  0.5000  0.0000  2 Tl 2.66
Zr  0.5000  0.0000  0.5000  2 Tl 2.66

(5)
A geometry-optimized Zr4Tl structure. Source: Alexandria via LeMat-Bulk, functional PBE.

Summary:
As for the total energy: -32.1 eV/cell. For the density of states at the Fermi level, the calculation gives 9.02 states/eV per cell.

a b c (Å): 5.6732 5.6732 5.6732
angles (deg): 109.47 109.47 109.47
With the nearest neighbours (Å) after each atom.
Element x y z (fractional)
Zr  0.0000  0.5000  0.0000  2 Tl 2.84
Zr  0.5000  0.5000  0.5000  2 Tl 2.84
Tl  0.0000  0.0000  0.0000  8 Zr 2.84
Zr  0.0000  0.0000  0.5000  2 Tl 2.84
Zr  0.5000  0.0000  0.0000  2 Tl 2.84

(6)
A geometry-optimized ZrTl structure. Source: Alexandria via LeMat-Bulk, functional PBE.

Summary:
As for the total energy: -19.0 eV/cell. For the density of states at the Fermi level, the calculation gives 6.56 states/eV per cell.

a b c (Å): 5.0549 5.0549 5.7851
angles (deg): 90.00 90.00 120.00
With the nearest neighbours (Å) after each atom.
Element x y z (fractional)
Tl  0.3333  0.6667  0.7500  5 Zr 2.89-2.92
Tl  0.6667  0.3333  0.2500  5 Zr 2.89-2.92
Zr  0.6667  0.3333  0.7500  5 Tl 2.89-2.92
Zr  0.3333  0.6667  0.2500  5 Tl 2.89-2.92

(7)
A geometry-optimized Zr3Tl structure. Source: Alexandria via LeMat-Bulk, functional PBE.

Summary:
As for the total energy: -28.1 eV/cell. For the density of states at the Fermi level, the calculation gives 4.77 states/eV per cell.

a b c (Å): 3.1971 3.1965 9.2217
angles (deg): 90.00 90.00 89.95
With the nearest neighbours (Å) after each atom.
Element x y z (fractional)
Zr  0.0000  0.0000  0.5000  12 Zr 3.19-3.20
Zr  0.5000  0.5000  0.2553  8 Zr 3.19-3.20, 4 Tl 3.26
Zr  0.5000  0.5000  0.7447  8 Zr 3.19-3.20, 4 Tl 3.26
Tl  0.0000  0.0000  0.0000  4 Tl 3.20, 8 Zr 3.26

(8)
A geometry-optimized ZrTl7 structure. Source: Alexandria via LeMat-Bulk, functional PBE.

Summary:
As for the total energy: -24.2 eV/cell. For the density of states at the Fermi level, the calculation gives 4.67 states/eV per cell.

a b c (Å): 6.7761 6.7761 6.7761
angles (deg): 60.00 60.00 60.00
With the nearest neighbours (Å) after each atom.
Element x y z (fractional)
Tl  0.5000  0.5000  0.5000  12 Tl 3.39
Tl  0.0000  0.5000  0.5000  10 Tl 3.39, 2 Zr 3.39
Zr  0.0000  0.0000  0.0000  12 Tl 3.39
Tl  0.0000  0.5000  0.0000  10 Tl 3.39, 2 Zr 3.39
Tl  0.5000  0.0000  0.5000  10 Tl 3.39, 2 Zr 3.39
Tl  0.5000  0.0000  0.0000  10 Tl 3.39, 2 Zr 3.39
Tl  0.0000  0.0000  0.5000  10 Tl 3.39, 2 Zr 3.39
Tl  0.5000  0.5000  0.0000  10 Tl 3.39, 2 Zr 3.39

(9)
A geometry-optimized Zr3Tl4 structure. Source: Alexandria via LeMat-Bulk, functional PBE.

Summary:
As for the total energy: -34.3 eV/cell. For the density of states at the Fermi level, the calculation gives 5.47 states/eV per cell.

a b c (Å): 5.9169 5.9169 5.7714
angles (deg): 90.00 90.00 120.00
With the nearest neighbours (Å) after each atom.
Element x y z (fractional)
Zr  0.0000  0.5000  0.0000  4 Zr 2.96, 4 Tl 3.29
Tl  0.3333  0.6667  0.5000  6 Zr 3.35, 9 Tl 3.42-3.71
Zr  0.5000  0.0000  0.0000  4 Zr 2.96, 4 Tl 3.29
Tl  0.6667  0.3333  0.5000  6 Zr 3.35, 9 Tl 3.42-3.71
Tl  0.0000  0.0000  0.7496  2 Tl 2.88-2.89
Zr  0.5000  0.5000  0.0000  4 Zr 2.96, 4 Tl 3.29
Tl  0.0000  0.0000  0.2504  2 Tl 2.88-2.89

(10)
A geometry-optimized Zr3Tl2 structure. Source: Alexandria via LeMat-Bulk, functional PBE.

Summary:
As for the total energy: -30.5 eV/cell. For the density of states at the Fermi level, the calculation gives 4.89 states/eV per cell.

a b c (Å): 12.8139 12.8139 12.8139
angles (deg): 14.85 14.85 14.85
With the nearest neighbours (Å) after each atom.
Element x y z (fractional)
Zr  0.0000  0.0000  0.0000  6 Tl 3.18, 6 Zr 3.31
Tl  0.5999  0.5999  0.5999  6 Zr 3.18-3.22, 6 Tl 3.31
Zr  0.1984  0.1984  0.1984  9 Zr 3.08-3.31, 3 Tl 3.22
Zr  0.8016  0.8016  0.8016  9 Zr 3.08-3.31, 3 Tl 3.22
Tl  0.4001  0.4001  0.4001  6 Zr 3.18-3.22, 6 Tl 3.31

(11)
A geometry-optimized Zr5Tl structure. Source: Alexandria via LeMat-Bulk, functional PBE.

Summary:
As for the total energy: -43.7 eV/cell. For the density of states at the Fermi level, the calculation gives 8.57 states/eV per cell.

a b c (Å): 5.8408 5.8408 5.8408
angles (deg): 60.00 60.00 60.00
With the nearest neighbours (Å) after each atom.
Element x y z (fractional)
Zr  0.2500  0.2500  0.2500  12 Zr 3.42, 4 Tl 3.58
Tl  0.0000  0.0000  0.0000  16 Zr 3.43-3.58
Zr  0.6225  0.1325  0.6225  6 Zr 2.86-2.98
Zr  0.1325  0.6225  0.6225  6 Zr 2.86-2.98
Zr  0.6225  0.6225  0.1325  6 Zr 2.86-2.98
Zr  0.6225  0.6225  0.6225  6 Zr 2.86-2.98

(12)
A geometry-optimized Zr3Tl2 structure. Source: Alexandria via LeMat-Bulk, functional PBE.

Summary:
As for the total energy: -59.0 eV/cell. For the density of states at the Fermi level, the calculation gives 8.89 states/eV per cell.

a b c (Å): 5.8881 5.8881 8.8111
angles (deg): 70.48 70.48 60.00
With the nearest neighbours (Å) after each atom.
Element x y z (fractional)
Tl  0.0000  0.0000  0.0000  6 Zr 3.09, 6 Tl 3.41
Zr  0.1350  0.5619  0.3126  2 Tl 2.94-3.09, 5 Zr 3.03-3.16
Zr  0.5619  0.9905  0.3126  2 Tl 2.94-3.09, 5 Zr 3.03-3.16
Tl  0.3464  0.3464  0.9607  6 Zr 3.35-3.36, 7 Tl 3.41-3.74
Tl  0.5000  0.5000  0.5000  6 Zr 2.94
Zr  0.8650  0.4381  0.6874  2 Tl 2.94-3.09, 5 Zr 3.03-3.16
Tl  0.6536  0.6536  0.0393  6 Zr 3.35-3.36, 7 Tl 3.41-3.74
Zr  0.0095  0.8650  0.6874  2 Tl 2.94-3.09, 5 Zr 3.03-3.16
Zr  0.9905  0.1350  0.3126  2 Tl 2.94-3.09, 5 Zr 3.03-3.16
Zr  0.4381  0.0095  0.6874  2 Tl 2.94-3.09, 5 Zr 3.03-3.16